a.
This record from Alexandria describes HgW2Cl after structural relaxation. The functional is PBE.

The structure in CIF format:
```
data_HgW2Cl
_cell_length_a 2.9149
_cell_length_b 2.9149
_cell_length_c 32.3003
_cell_angle_alpha 90.00
_cell_angle_beta 90.00
_cell_angle_gamma 120.00
_symmetry_space_group_name_H-M 'R 3 m'
_symmetry_Int_Tables_number 160
_symmetry_space_group_name_Hall 'R 3 -2"'
loop_
_atom_site_label
_atom_site_fract_x
_atom_site_fract_y
_atom_site_fract_z
Hg1 0.0000 0.0000 0.0000
W1 0.0000 0.0000 0.4868
W2 0.0000 0.0000 0.7470
Cl1 0.0000 0.0000 0.2109
```


b.
This record from Alexandria describes HgW2Cl after structural relaxation. The functional is PBE.

The structure in CIF format:
```
data_HgW2Cl
_cell_length_a 5.513
_cell_length_b 9.576
_cell_length_c 2.772
_cell_angle_alpha 90.00
_cell_angle_beta 90.00
_cell_angle_gamma 90.00
_symmetry_space_group_name_H-M 'C m m m'
_symmetry_Int_Tables_number 65
_symmetry_space_group_name_Hall '-C 2 2'
loop_
_atom_site_label
_atom_site_fract_x
_atom_site_fract_y
_atom_site_fract_z
Hg1 0.000 0.000 0.000
W1 0.250 0.250 0.500
Cl1 0.000 0.500 0.000
```


Stability, lowest: b